Entry 1:
# Re2RhPb | Alexandria | PBE | optimized geometry
# Total magnetic moment in μB per formula unit: 0.00
# Symmetry: No. 139
data_Re2RhPb
_chemical_formula_sum 'Re2 Rh1 Pb1'
_space_group_name_H-M_alt 'P 1'
_space_group_IT_number 1
_cell_length_a 5.108
_cell_length_b 5.108
_cell_length_c 5.108
_cell_angle_alpha 134.69
_cell_angle_beta 134.69
_cell_angle_gamma 66.01
loop_
_space_group_symop_operation_xyz
'x,y,z'
loop_
_atom_site_label
_atom_site_fract_x
_atom_site_fract_y
_atom_site_fract_z
Re1 0.750 0.250 0.500
Re2 0.250 0.750 0.500
Rh1 0.500 0.500 0.000
Pb1 0.000 0.000 0.000

Entry 2:
# Nd5Dy2In4 | Alexandria | PBE | optimized geometry
# Total magnetic moment in μB per formula unit: 0.00
# Energy above the lowest structure with this stoichiometry in meV per atom: 113
# Symmetry: No. 12
data_Nd5Dy2In4
_chemical_formula_sum 'Nd5 Dy2 In4'
_space_group_name_H-M_alt 'P 1'
_space_group_IT_number 1
_cell_length_a 3.764
_cell_length_b 8.871
_cell_length_c 11.791
_cell_angle_alpha 112.14
_cell_angle_beta 99.18
_cell_angle_gamma 90.00
loop_
_space_group_symop_operation_xyz
'x,y,z'
loop_
_atom_site_label
_atom_site_fract_x
_atom_site_fract_y
_atom_site_fract_z
Nd1 0.155 0.946 0.310
Nd2 0.845 0.054 0.690
Nd3 0.154 0.363 0.309
Nd4 0.500 0.000 0.000
Nd5 0.846 0.637 0.691
Dy1 0.418 0.419 0.837
Dy2 0.582 0.581 0.163
In1 0.721 0.721 0.443
In2 0.000 0.714 0.000
In3 0.279 0.279 0.557
In4 0.000 0.286 0.000

Entry 3:
# Mg2AsOs | Alexandria | PBE | optimized geometry
# Total magnetic moment in μB per formula unit: 0.00
# Symmetry: No. 65
data_Mg2AsOs
_chemical_formula_sum 'Mg2 As1 Os1'
_space_group_name_H-M_alt 'P 1'
_space_group_IT_number 1
_cell_length_a 5.019
_cell_length_b 5.019
_cell_length_c 2.792
_cell_angle_alpha 90.00
_cell_angle_beta 90.00
_cell_angle_gamma 109.97
loop_
_space_group_symop_operation_xyz
'x,y,z'
loop_
_atom_site_label
_atom_site_fract_x
_atom_site_fract_y
_atom_site_fract_z
As1 0.000 0.500 0.500
Mg1 0.000 0.000 0.000
Mg2 0.500 0.500 0.000
Os1 0.500 0.000 0.500

Quick rundown of formation energy from the elements, same order as above: 273, -188, 31 kJ/mol of formula units